1.
Here is a relaxed CrP2Os crystal from Alexandria. Energies are from PBE-GGA.

```
data_CrP2Os
_space_group_name_H-M_alt 'P 1'
_space_group_IT_number 1
_cell_length_a 3.035
_cell_length_b 3.035
_cell_length_c 5.500
_cell_angle_alpha 90.00
_cell_angle_beta 90.00
_cell_angle_gamma 90.00
loop_
_space_group_symop_operation_xyz
'x,y,z'
loop_
_atom_site_label
_atom_site_type_symbol
_atom_site_fract_x
_atom_site_fract_y
_atom_site_fract_z
Cr1 Cr 0.000 0.000 0.422
Os1 Os 0.500 0.500 0.796
P1 P 0.000 0.000 0.996
P2 P 0.500 0.500 0.286
```

Summary:
* offset from the most stable computed form: 0.123 eV per atom



2.
Here is a relaxed CrP2Os crystal from Alexandria. Energies are from PBE-GGA.

```
data_CrP2Os
_space_group_name_H-M_alt 'P 1'
_space_group_IT_number 1
_cell_length_a 4.541
_cell_length_b 4.541
_cell_length_c 4.541
_cell_angle_alpha 130.86
_cell_angle_beta 130.86
_cell_angle_gamma 72.03
loop_
_space_group_symop_operation_xyz
'x,y,z'
loop_
_atom_site_label
_atom_site_type_symbol
_atom_site_fract_x
_atom_site_fract_y
_atom_site_fract_z
Cr1 Cr 0.500 0.500 0.000
Os1 Os 0.750 0.250 0.500
P1 P 0.000 0.000 0.000
P2 P 0.250 0.750 0.500
```

Summary:
* offset from the most stable computed form: 0.528 eV per atom



3.
Here is a relaxed CrPOs2 crystal from Alexandria. Energies are from PBE-GGA.

```
data_CrPOs2
_space_group_name_H-M_alt 'P 1'
_space_group_IT_number 1
_cell_length_a 4.991
_cell_length_b 4.991
_cell_length_c 4.991
_cell_angle_alpha 147.00
_cell_angle_beta 129.81
_cell_angle_gamma 61.39
loop_
_space_group_symop_operation_xyz
'x,y,z'
loop_
_atom_site_label
_atom_site_type_symbol
_atom_site_fract_x
_atom_site_fract_y
_atom_site_fract_z
Cr1 Cr 0.284 0.784 0.500
Os1 Os 0.000 0.000 0.000
Os2 Os 0.719 0.219 0.500
P1 P 0.497 0.497 0.000
```



4.
Here is a relaxed CrP2Os crystal from Alexandria. Energies are from PBE-GGA.

```
data_CrP2Os
_space_group_name_H-M_alt 'P 1'
_space_group_IT_number 1
_cell_length_a 3.818
_cell_length_b 3.119
_cell_length_c 4.827
_cell_angle_alpha 90.02
_cell_angle_beta 90.00
_cell_angle_gamma 90.00
loop_
_space_group_symop_operation_xyz
'x,y,z'
loop_
_atom_site_label
_atom_site_type_symbol
_atom_site_fract_x
_atom_site_fract_y
_atom_site_fract_z
Cr1 Cr 0.500 0.250 0.250
Os1 Os 0.500 0.750 0.750
P1 P 0.000 0.749 0.029
P2 P 0.000 0.751 0.471
```

Summary:
* offset from the most stable computed form: 0.342 eV per atom



5.
Here is a relaxed CrPOs2 crystal from Alexandria. Energies are from PBE-GGA.

```
data_CrPOs2
_space_group_name_H-M_alt 'P 1'
_space_group_IT_number 1
_cell_length_a 4.713
_cell_length_b 4.713
_cell_length_c 4.713
_cell_angle_alpha 134.26
_cell_angle_beta 134.26
_cell_angle_gamma 66.69
loop_
_space_group_symop_operation_xyz
'x,y,z'
loop_
_atom_site_label
_atom_site_type_symbol
_atom_site_fract_x
_atom_site_fract_y
_atom_site_fract_z
Cr1 Cr 0.750 0.250 0.500
Os1 Os 0.000 0.000 0.000
Os2 Os 0.250 0.750 0.500
P1 P 0.500 0.500 0.000
```



6.
Here is a relaxed CrPOs2 crystal from Alexandria. Energies are from PBE-GGA.

```
data_CrPOs2
_space_group_name_H-M_alt 'P 1'
_space_group_IT_number 1
_cell_length_a 2.745
_cell_length_b 2.745
_cell_length_c 8.185
_cell_angle_alpha 90.00
_cell_angle_beta 90.00
_cell_angle_gamma 118.23
loop_
_space_group_symop_operation_xyz
'x,y,z'
loop_
_atom_site_label
_atom_site_type_symbol
_atom_site_fract_x
_atom_site_fract_y
_atom_site_fract_z
Cr1 Cr 0.500 0.500 0.729
Os1 Os 0.000 0.000 0.984
Os2 Os 0.500 0.500 0.279
P1 P 0.000 0.000 0.508
```



7.
Here is a relaxed Cr2POs crystal from Alexandria. Energies are from PBE-GGA.

```
data_Cr2POs
_space_group_name_H-M_alt 'P 1'
_space_group_IT_number 1
_cell_length_a 5.403
_cell_length_b 5.403
_cell_length_c 6.388
_cell_angle_alpha 64.98
_cell_angle_beta 64.98
_cell_angle_gamma 90.00
loop_
_space_group_symop_operation_xyz
'x,y,z'
loop_
_atom_site_label
_atom_site_type_symbol
_atom_site_fract_x
_atom_site_fract_y
_atom_site_fract_z
Cr1 Cr 0.614 0.125 0.250
Cr2 Cr 0.136 0.625 0.250
Cr3 Cr 0.375 0.386 0.750
Cr4 Cr 0.875 0.864 0.750
Os1 Os 0.000 0.000 0.000
Os2 Os 0.750 0.250 0.500
P1 P 0.500 0.500 0.000
P2 P 0.250 0.750 0.500
```



8.
Here is a relaxed CrPOs2 crystal from Alexandria. Energies are from PBE-GGA.

```
data_CrPOs2
_space_group_name_H-M_alt 'P 1'
_space_group_IT_number 1
_cell_length_a 3.867
_cell_length_b 2.773
_cell_length_c 5.199
_cell_angle_alpha 72.95
_cell_angle_beta 90.00
_cell_angle_gamma 90.00
loop_
_space_group_symop_operation_xyz
'x,y,z'
loop_
_atom_site_label
_atom_site_type_symbol
_atom_site_fract_x
_atom_site_fract_y
_atom_site_fract_z
Cr1 Cr 0.500 0.750 0.750
Os1 Os 0.000 0.128 0.011
Os2 Os 0.000 0.372 0.489
P1 P 0.500 0.250 0.250
```



9.
Here is a relaxed CrP2Os crystal from Alexandria. Energies are from PBE-GGA.

```
data_CrP2Os
_space_group_name_H-M_alt 'P 1'
_space_group_IT_number 1
_cell_length_a 2.889
_cell_length_b 2.889
_cell_length_c 7.503
_cell_angle_alpha 90.00
_cell_angle_beta 90.00
_cell_angle_gamma 121.06
loop_
_space_group_symop_operation_xyz
'x,y,z'
loop_
_atom_site_label
_atom_site_type_symbol
_atom_site_fract_x
_atom_site_fract_y
_atom_site_fract_z
Cr1 Cr 0.500 0.500 0.250
Os1 Os 0.500 0.500 0.750
P1 P 0.000 0.000 0.010
P2 P 0.000 0.000 0.490
```

Summary:
* offset from the most stable computed form: 0.560 eV per atom



10.
Here is a relaxed Cr2POs crystal from Alexandria. Energies are from PBE-GGA.

```
data_Cr2POs
_space_group_name_H-M_alt 'P 1'
_space_group_IT_number 1
_cell_length_a 4.117
_cell_length_b 4.117
_cell_length_c 4.117
_cell_angle_alpha 60.00
_cell_angle_beta 60.00
_cell_angle_gamma 60.00
loop_
_space_group_symop_operation_xyz
'x,y,z'
loop_
_atom_site_label
_atom_site_type_symbol
_atom_site_fract_x
_atom_site_fract_y
_atom_site_fract_z
Cr1 Cr 0.000 0.000 0.000
Cr2 Cr 0.750 0.750 0.750
Os1 Os 0.500 0.500 0.500
P1 P 0.250 0.250 0.250
```



11.
Here is a relaxed Cr2POs2 crystal from Alexandria. Energies are from PBE-GGA.

```
data_Cr2POs2
_space_group_name_H-M_alt 'P 1'
_space_group_IT_number 1
_cell_length_a 3.733
_cell_length_b 3.733
_cell_length_c 6.062
_cell_angle_alpha 72.07
_cell_angle_beta 72.07
_cell_angle_gamma 90.00
loop_
_space_group_symop_operation_xyz
'x,y,z'
loop_
_atom_site_label
_atom_site_type_symbol
_atom_site_fract_x
_atom_site_fract_y
_atom_site_fract_z
Cr1 Cr 0.395 0.395 0.210
Cr2 Cr 0.605 0.605 0.790
Os1 Os 0.750 0.250 0.500
Os2 Os 0.250 0.750 0.500
P1 P 0.000 0.000 0.000
```



12.
Here is a relaxed Cr2POs crystal from Alexandria. Energies are from PBE-GGA.

```
data_Cr2POs
_space_group_name_H-M_alt 'P 1'
_space_group_IT_number 1
_cell_length_a 4.394
_cell_length_b 4.394
_cell_length_c 4.405
_cell_angle_alpha 75.34
_cell_angle_beta 75.34
_cell_angle_gamma 38.10
loop_
_space_group_symop_operation_xyz
'x,y,z'
loop_
_atom_site_label
_atom_site_type_symbol
_atom_site_fract_x
_atom_site_fract_y
_atom_site_fract_z
Cr1 Cr 0.006 0.006 0.048
Cr2 Cr 0.257 0.257 0.173
Os1 Os 0.488 0.488 0.565
P1 P 0.749 0.749 0.714
```



13.
Here is a relaxed Cr2POs crystal from Alexandria. Energies are from PBE-GGA.

```
data_Cr2POs
_space_group_name_H-M_alt 'P 1'
_space_group_IT_number 1
_cell_length_a 5.564
_cell_length_b 4.500
_cell_length_c 2.808
_cell_angle_alpha 89.99
_cell_angle_beta 59.71
_cell_angle_gamma 117.41
loop_
_space_group_symop_operation_xyz
'x,y,z'
loop_
_atom_site_label
_atom_site_type_symbol
_atom_site_fract_x
_atom_site_fract_y
_atom_site_fract_z
Cr1 Cr 0.000 0.000 0.000
Cr2 Cr 0.500 0.000 0.500
Os1 Os 0.000 0.500 0.500
P1 P 0.500 0.500 0.000
```



14.
Here is a relaxed CrP2Os crystal from Alexandria. Energies are from PBE-GGA.

```
data_CrP2Os
_space_group_name_H-M_alt 'P 1'
_space_group_IT_number 1
_cell_length_a 4.210
_cell_length_b 4.210
_cell_length_c 4.740
_cell_angle_alpha 74.74
_cell_angle_beta 74.74
_cell_angle_gamma 40.93
loop_
_space_group_symop_operation_xyz
'x,y,z'
loop_
_atom_site_label
_atom_site_type_symbol
_atom_site_fract_x
_atom_site_fract_y
_atom_site_fract_z
Cr1 Cr 0.480 0.480 0.638
Os1 Os 0.253 0.253 0.226
P1 P 0.004 0.004 0.023
P2 P 0.762 0.762 0.614
```

Summary:
* offset from the most stable computed form: 0.000 eV per atom



15.
Here is a relaxed CrPOs crystal from Alexandria. Energies are from PBE-GGA.

```
data_CrPOs
_space_group_name_H-M_alt 'P 1'
_space_group_IT_number 1
_cell_length_a 2.757
_cell_length_b 2.757
_cell_length_c 5.821
_cell_angle_alpha 90.00
_cell_angle_beta 90.00
_cell_angle_gamma 120.00
loop_
_space_group_symop_operation_xyz
'x,y,z'
loop_
_atom_site_label
_atom_site_type_symbol
_atom_site_fract_x
_atom_site_fract_y
_atom_site_fract_z
Cr1 Cr 0.000 0.000 0.984
Os1 Os 0.667 0.333 0.338
P1 P 0.333 0.667 0.677
```



Q: Which N(E_F) values were calculated for the entries above? A: 2.127 2.688 3.101 2.343 3.159 4.698 6.686 3.618 2.836 3.985 2.924 2.953 2.472 2.468 3.349, in states/eV/f.u..
Q: Which E_form values were calculated for the entries above? A: -0.141 0.264 -0.038 0.078 0.250 0.430 0.788 0.082 0.296 -0.009 0.664 -0.072 -0.003 -0.264 0.059, in eV/atom.